VASP calculation (GGA-PBE) on crystalline GdYSnAu at its relaxed geometry.

```
GdYSnAu
1.0
0.000 3.707 3.707
3.707 0.000 3.707
3.707 3.707 0.000
Gd Y Sn Au
1 1 1 1
direct
0.000 0.000 0.000
0.500 0.500 0.500
0.750 0.750 0.750
0.250 0.250 0.250
```

## Properties
E in hartree per atom: -0.283
Symmetry: F-43m (216)
Magnetic moment in μB/f.u.: 7.8



VASP calculation (GGA-PBE) on crystalline MgBe at its relaxed geometry.

```
MgBe
1.0
2.910 0.000 0.000
-1.455 2.520 0.000
0.000 0.000 8.459
Mg Be
2 2
direct
0.000 0.000 0.000
0.000 0.000 0.500
0.333 0.667 0.250
0.667 0.333 0.750
```

## Properties
E in hartree per atom: -0.078
Symmetry: P6_3/mmc (194)
Magnetic moment in μB/f.u.: 0.0



VASP calculation (GGA-PBE) on crystalline IrPtAu2 at its relaxed geometry.

```
IrPtAu2
1.0
-1.398 2.446 4.920
1.398 -2.446 4.920
1.398 2.446 -4.920
Ir Pt Au
1 1 2
direct
0.000 0.000 0.000
0.228 0.728 0.500
0.485 0.485 0.000
0.751 0.251 0.500
```

## Properties
E in hartree per atom: -0.187
Symmetry: Imm2 (44)
Magnetic moment in μB/f.u.: 0.0



VASP calculation (GGA-PBE) on crystalline Zn3Ag at its relaxed geometry.

```
Zn3Ag
1.0
0.000 3.136 3.136
3.136 0.000 3.136
3.136 3.136 0.000
Zn Ag
3 1
direct
0.000 0.000 0.000
0.250 0.250 0.250
0.750 0.750 0.750
0.500 0.500 0.500
```

## Properties
E in hartree per atom: -0.060
Symmetry: Fm-3m (225)
Magnetic moment in μB/f.u.: 0.0



VASP calculation (GGA-PBE) on crystalline Mn2IN at its relaxed geometry.

```
Mn2IN
1.0
0.000 2.921 2.921
2.921 0.000 2.921
2.921 2.921 0.000
Mn I N
2 1 1
direct
0.250 0.250 0.250
0.750 0.750 0.750
0.000 0.000 0.000
0.500 0.500 0.500
```

## Properties
E in hartree per atom: -0.209
ΔE_f (raw) in eV/f.u.: 5.47
Symmetry: Fm-3m (225)
Magnetic moment in μB/f.u.: 0.0



VASP calculation (GGA-PBE) on crystalline HoHfPb2 at its relaxed geometry.

```
HoHfPb2
1.0
4.833 0.000 0.000
0.000 4.833 0.000
0.000 0.000 4.386
Ho Hf Pb
1 1 2
direct
0.000 0.000 0.000
0.500 0.500 0.000
0.000 0.500 0.500
0.500 0.000 0.500
```

## Properties
E in hartree per atom: -0.205
Symmetry: P4/mmm (123)
Magnetic moment in μB/f.u.: 0.0



VASP calculation (GGA-PBE) on crystalline CsTiSe4 at its relaxed geometry.

```
CsTiSe4
1.0
4.186 -7.648 0.000
4.186 7.648 0.000
-2.462 0.000 6.075
Cs Ti Se
2 2 8
direct
0.146 0.854 0.750
0.854 0.146 0.250
0.500 0.500 0.250
0.500 0.500 0.750
0.183 0.334 0.882
0.318 0.582 0.476
0.334 0.183 0.382
0.418 0.682 0.024
0.582 0.318 0.976
0.666 0.817 0.618
0.682 0.418 0.524
0.817 0.666 0.118
```

## Properties
E in hartree per atom: -0.169
ΔE_f (raw) in eV/f.u.: -4.87
Symmetry: C2/c (15)
Magnetic moment in μB/f.u.: 0.0



VASP calculation (GGA-PBE) on crystalline La2NdEr2In5 at its relaxed geometry.

```
La2NdEr2In5
1.0
11.070 0.000 0.000
0.000 11.070 0.000
0.000 0.000 4.738
La Nd Er In
4 2 4 10
direct
0.176 0.324 0.000
0.324 0.824 0.000
0.676 0.176 0.000
0.824 0.676 0.000
0.000 0.000 0.000
0.500 0.500 0.000
0.123 0.623 0.000
0.377 0.123 0.000
0.623 0.877 0.000
0.877 0.377 0.000
0.000 0.500 0.500
0.064 0.801 0.500
0.199 0.064 0.500
0.301 0.564 0.500
0.436 0.301 0.500
0.500 0.000 0.500
0.564 0.699 0.500
0.699 0.436 0.500
0.801 0.936 0.500
0.936 0.199 0.500
```

## Properties
E in hartree per atom: -0.151
Symmetry: P4/mbm (127)
Magnetic moment in μB/f.u.: 0.0



Respective theoretical density values: 9.16; 1.78; 19.28; 8.18; 8.35; 12.29; 4.24; 7.61 g/cm³.